Run i
# Cd2GaAg8

A relaxed structure of Cd2GaAg8 (PBE, Alexandria).

Cell: 4.271 8.678 11.420 Å, 90.00 90.00 90.00°
Space group Immm (No. 71)
Unique sites:
1 Cd 0.000 0.000 0.139 [4 per cell]
2 Ga 0.000 0.000 0.500 [2 per cell]
3 Ag 0.000 0.240 0.335 [8 per cell]
4 Ag 0.000 0.273 0.000 [4 per cell]
5 Ag 0.000 0.500 0.180 [4 per cell]

* total moment: 0.00 μB per atom

---

Run ii
# Cd2GaAg8

A relaxed structure of Cd2GaAg8 (PBE, Alexandria).

Cell: 10.594 9.243 5.054 Å, 90.00 108.91 90.00°
Space group C2/m (No. 12)
Unique sites:
1 Cd 0.153 0.000 0.036 [4 per cell]
2 Ga 0.000 0.000 0.500 [2 per cell]
3 Ag 0.068 0.500 0.795 [4 per cell]
4 Ag 0.086 0.243 0.323 [8 per cell]
5 Ag 0.228 0.500 0.388 [4 per cell]

* total moment: 0.00 μB per atom

---

Which of them is most stable, and which least? Most stable: run i; least stable: run ii.

---

Run i
# Cd7GaAg4

A relaxed structure of Cd7GaAg4 (PBE, Alexandria).

Cell: 3.1098 3.1098 28.8496 Å, 90.00 90.00 120.00°
Space group P-3m1 (No. 164)
Unique sites:
1 Cd 0.0000 0.0000 0.0000 [1 per cell]
2 Cd 0.0000 0.0000 0.2537 [2 per cell]
3 Cd 0.3333 0.6667 0.1643 [2 per cell]
4 Cd 0.3333 0.6667 0.4176 [2 per cell]
5 Ga 0.0000 0.0000 0.5000 [1 per cell]
6 Ag 0.3333 0.6667 0.6639 [2 per cell]
7 Ag 0.3333 0.6667 0.9181 [2 per cell]

* total moment: 0.00 μB per atom

---

Run ii
# Cd7GaAg4

A relaxed structure of Cd7GaAg4 (PBE, Alexandria).

Cell: 13.246 5.031 10.319 Å, 90.00 128.21 90.00°
Space group C2/m (No. 12)
Unique sites:
1 Cd 0.000 0.000 0.000 [2 per cell]
2 Cd 0.062 0.500 0.334 [4 per cell]
3 Cd 0.153 0.000 0.592 [4 per cell]
4 Cd 0.220 0.500 0.855 [4 per cell]
5 Ga 0.000 0.500 0.000 [2 per cell]
6 Ag 0.077 0.000 0.791 [4 per cell]
7 Ag 0.197 0.000 0.351 [4 per cell]

* total moment: 0.00 μB per atom

---

Which of them is most stable, and which least? Most stable: run i; least stable: run ii.